SrU4Se8: optimized geometry, PBE.

Cell: 12.087 12.087 12.087 Å, 90.00 90.00 90.00°
Space group F-43m (No. 216)
Unique sites:
Sr: 0.000 0.000 0.000 [4 per cell]
U: 0.121 0.121 0.621 [16 per cell]
Se: 0.115 0.115 0.385 [16 per cell]
Se: 0.140 0.140 0.860 [16 per cell]

E_tot ... -0.512 Ry per atom
Total moment ... 40.0 Bohr magnetons per cell
DOS at the Fermi energy ... 26.6 states/eV/f.u.
E_form (uncorrected) ... -1.225 eV/atom
Relative energy among the computed polymorphs ... 39.8 meV per atom